No. 1
First-principles (PBE) data for crystalline NbReOs2Rh at its relaxed geometry, as listed in Alexandria via LeMat-Bulk.

Properties
Space-group type ... P4/mmm
DOS(E_F) ... 5.31 states/eV/cell
ΔH_f (0 K) ... 2.343 eV per atom
Energy ... -8.123 eV/atom

Unit cell a=4.699 b=4.604 c=4.699 alpha=90.00 beta=90.00 gamma=90.00
Site moments in Bohr magnetons follow the coordinates.
Positions (direct):
Os (0.000, 0.000, 0.500)  -0.02
Rh (0.000, 0.500, 0.000)  0.20
Re (0.500, 0.500, 0.500)  2.61
Os (0.500, 0.000, 0.000)  0.03
Nb (0.000, 0.000, 0.000)  -0.01

No. 2
First-principles (PBE) data for crystalline ZrTc2 at its relaxed geometry, as listed in Alexandria via LeMat-Bulk.

Properties
Space-group type ... P6_3/mmc
DOS(E_F) ... 4.09 states/eV/cell
ΔH_f (0 K) ... -0.056 eV per atom
Energy above the most stable polymorph in this dataset ... 255 meV/atom
Energy ... -9.816 eV/atom

Unit cell a=4.169 b=4.169 c=7.212 alpha=90.00 beta=90.00 gamma=120.00
Positions (direct):
Zr (0.000, 0.000, 0.750)
Zr (0.000, 0.000, 0.250)
Tc (0.667, 0.333, 0.453)
Tc (0.333, 0.667, 0.953)
Tc (0.667, 0.333, 0.047)
Tc (0.333, 0.667, 0.547)

No. 3
First-principles (PBE) data for crystalline Ta2BeAl2 at its relaxed geometry, as listed in Alexandria via LeMat-Bulk.

Properties
Space-group type ... I4/mmm
DOS(E_F) ... 3.36 states/eV/cell
ΔH_f (0 K) ... 0.761 eV per atom
Energy above the most stable polymorph in this dataset ... 651 meV/atom
Energy ... -6.222 eV/atom

Unit cell a=3.765 b=3.765 c=7.145 alpha=74.72 beta=74.72 gamma=90.00
Positions (direct):
Be (0.000, 0.000, 0.000)
Al (0.408, 0.408, 0.184)
Ta (0.750, 0.250, 0.500)
Ta (0.250, 0.750, 0.500)
Al (0.592, 0.592, 0.816)

No. 4
First-principles (PBE) data for crystalline CrAg2Bi at its relaxed geometry, as listed in Alexandria via LeMat-Bulk.

Properties
Space-group type ... I-42d
DOS(E_F) ... 4.12 states/eV/cell
ΔH_f (0 K) ... 0.495 eV per atom
Energy ... -4.306 eV/atom

Unit cell a=7.962 b=7.962 c=6.293 alpha=50.76 beta=50.76 gamma=90.00
Site moments in Bohr magnetons follow the coordinates.
Positions (direct):
Bi (0.750, 0.250, 0.500)  -0.09
Bi (0.000, 0.000, 0.000)  -0.09
Ag (0.875, 0.857, 0.750)  0.02
Ag (0.607, 0.125, 0.250)  0.03
Ag (0.375, 0.393, 0.750)  0.03
Ag (0.143, 0.625, 0.250)  0.02
Cr (0.250, 0.750, 0.500)  3.72
Cr (0.500, 0.500, 0.000)  3.71

No. 5
First-principles (PBE) data for crystalline Pm4Bi3N at its relaxed geometry, as listed in Alexandria via LeMat-Bulk.

Properties
Space-group type ... Pmn2_1
DOS(E_F) ... 0.61 states/eV/cell
Energy ... -5.655 eV/atom

Unit cell a=6.457 b=8.830 c=10.027 alpha=90.00 beta=90.00 gamma=90.00
Positions (direct):
Bi (0.559, 0.838, 0.000)
Pm (0.571, 0.697, 0.705)
Pm (0.634, 0.181, 0.000)
Pm (0.070, 0.910, 0.000)
Pm (0.570, 0.090, 0.500)
Bi (0.059, 0.661, 0.230)
Pm (0.571, 0.697, 0.295)
Bi (0.059, 0.661, 0.770)
Bi (0.559, 0.339, 0.270)
Pm (0.071, 0.303, 0.205)
Bi (0.559, 0.339, 0.730)
Pm (0.071, 0.303, 0.795)
N (0.493, 0.822, 0.500)
Pm (0.134, 0.819, 0.500)
Bi (0.059, 0.162, 0.500)
N (0.993, 0.178, 0.000)

No. 6
First-principles (PBE) data for crystalline La3TlAg2 at its relaxed geometry, as listed in Alexandria via LeMat-Bulk.

Properties
Space-group type ... P4/mmm
DOS(E_F) ... 6.11 states/eV/cell
ΔH_f (0 K) ... -0.310 eV per atom
Energy ... -4.118 eV/atom

Unit cell a=3.815 b=3.815 c=12.032 alpha=90.00 beta=90.00 gamma=90.00
Site moments in Bohr magnetons follow the coordinates.
Positions (direct):
La (0.000, 0.000, 0.679)  0.12
Ag (0.500, 0.500, 0.842)  0.01
Tl (0.500, 0.500, 0.500)  0.00
La (0.000, 0.000, 0.321)  0.12
Ag (0.500, 0.500, 0.158)  0.01
La (0.000, 0.000, 0.000)  0.06

No. 7
First-principles (PBE) data for crystalline MgInAg5 at its relaxed geometry, as listed in Alexandria via LeMat-Bulk.

Properties
Space-group type ... P4/mmm
DOS(E_F) ... 1.18 states/eV/cell
ΔH_f (0 K) ... 0.033 eV per atom
Energy ... -2.622 eV/atom

Unit cell a=4.485 b=4.485 c=6.957 alpha=90.00 beta=90.00 gamma=90.00
Positions (direct):
Ag (0.000, 0.500, 0.774)
Ag (0.500, 0.000, 0.774)
Mg (0.500, 0.500, 0.000)
In (0.000, 0.000, 0.500)
Ag (0.500, 0.000, 0.226)
Ag (0.500, 0.500, 0.500)
Ag (0.000, 0.500, 0.226)

No. 8
First-principles (PBE) data for crystalline Tb2HoPd4 at its relaxed geometry, as listed in Alexandria via LeMat-Bulk.

Properties
Space-group type ... Fmmm
DOS(E_F) ... 3.12 states/eV/cell
ΔH_f (0 K) ... -0.298 eV per atom
Energy ... -5.243 eV/atom

Unit cell a=5.158 b=5.158 c=8.563 alpha=114.45 beta=114.45 gamma=68.04
Positions (direct):
Ho (0.000, 0.000, 0.000)
Pd (0.500, 0.000, 0.000)
Pd (0.817, 0.817, 0.633)
Pd (0.000, 0.500, 0.000)
Pd (0.183, 0.183, 0.367)
Tb (0.632, 0.632, 0.263)
Tb (0.368, 0.368, 0.737)